Entry 1:
This record from the Alexandria database describes a relaxed Zr2InRh5 crystal. The functional is PBE-GGA.

```
data_Zr2InRh5
_symmetry_space_group_name_H-M 'P b a m'
_symmetry_Int_Tables_number 55
_symmetry_space_group_name_Hall '-P 2 2ab'
_cell_length_a 5.634
_cell_length_b 11.211
_cell_length_c 4.152
_cell_angle_alpha 90.00
_cell_angle_beta 90.00
_cell_angle_gamma 90.00
loop_
_atom_site_label
_atom_site_fract_x
_atom_site_fract_y
_atom_site_fract_z
_atom_site_occupancy
Zr1 0.193 0.139 0.000 1
In1 0.000 0.500 0.500 1
Rh1 0.000 0.000 0.500 1
Rh2 0.050 0.752 0.500 1
Rh3 0.212 0.382 0.000 1
```

Size of the total moment (μB per atom): 0.00
Calculated formation energy (eV/f.u.): -5.98
DOS(E_F) (states/eV/atom): 0.81

Entry 2:
This record from the Alexandria database describes a relaxed Er3Al3Ga2Au crystal. The functional is PBE-GGA.

```
data_Er3Al3Ga2Au
_symmetry_space_group_name_H-M 'P -6 2 m'
_symmetry_Int_Tables_number 189
_symmetry_space_group_name_Hall 'P -6 -2'
_cell_length_a 6.9623
_cell_length_b 6.9623
_cell_length_c 4.3092
_cell_angle_alpha 90.00
_cell_angle_beta 90.00
_cell_angle_gamma 120.00
loop_
_atom_site_label
_atom_site_fract_x
_atom_site_fract_y
_atom_site_fract_z
_atom_site_occupancy
Er1 0.0000 0.4213 0.0000 1
Al1 0.0000 0.7573 0.5000 1
Ga1 0.3333 0.6667 0.5000 1
Au1 0.0000 0.0000 0.0000 1
```

Size of the total moment (μB per atom): 0.00
Calculated formation energy (eV/f.u.): -6.23
DOS(E_F) (states/eV/atom): 0.33

Q: What is the formula in the second record?
A: Er3Al3Ga2Au

Q: What is the DOS(E_F) in the second record?
A: 0.33 states/eV/atom

Q: Number 1 is which compound?
A: Zr2InRh5